VASP calculation (PBE) on a geometry-optimized ScCdCl2 structure.

Output
Space-group type: Cmmm
Polymorph energy (0 for the lowest one): 0.656 eV/atom
Formation energy from raw total energies: -0.6270 eV per atom

a b c (Å): 5.145 5.145 3.434
angles (deg): 90.00 90.00 103.06
Element x y z (fractional)
Sc1 0.000 0.000 0.000
Cd1 0.500 0.500 0.000
Cl1 0.000 0.500 0.500
Cl2 0.500 0.000 0.500


VASP calculation (PBE) on a geometry-optimized Ni4HgOs structure.

Output
Space-group type: F-43m
DFT total energy: -5.42 eV/atom

a b c (Å): 4.790 4.790 4.790
angles (deg): 60.00 60.00 60.00
Element x y z (fractional)
Ni1 0.124 0.124 0.124
Ni2 0.124 0.124 0.627
Ni3 0.124 0.627 0.124
Ni4 0.627 0.124 0.124
Hg1 0.500 0.500 0.500
Os1 0.750 0.750 0.750


VASP calculation (PBE) on a geometry-optimized Pm8PrSm6 structure.

Output
Space-group type: R-3
DFT total energy: -4.59 eV/atom

a b c (Å): 8.367 8.367 8.367
angles (deg): 72.10 72.10 72.10
Element x y z (fractional)
Pm1 0.052 0.372 0.867
Pm2 0.133 0.948 0.628
Pm3 0.240 0.240 0.240
Pm4 0.372 0.867 0.052
Pm5 0.628 0.133 0.948
Pm6 0.760 0.760 0.760
Pm7 0.867 0.052 0.372
Pm8 0.948 0.628 0.133
Pr1 0.000 0.000 0.000
Sm1 0.173 0.616 0.439
Sm2 0.384 0.561 0.827
Sm3 0.439 0.173 0.616
Sm4 0.561 0.827 0.384
Sm5 0.616 0.439 0.173
Sm6 0.827 0.384 0.561


VASP calculation (PBE) on a geometry-optimized Co2P structure.

Output
Space-group type: P6_3/mmc
DFT total energy: -6.85 eV/atom

a b c (Å): 3.792 3.792 5.034
angles (deg): 90.00 90.00 120.00
Element x y z (fractional)
Co1 0.000 0.000 0.000
Co2 0.000 0.000 0.500
Co3 0.333 0.667 0.250
Co4 0.667 0.333 0.750
P1 0.333 0.667 0.750
P2 0.667 0.333 0.250


VASP calculation (PBE) on a geometry-optimized MgMn2As structure.

Output
Space-group type: P2/m
DFT total energy: -6.03 eV/atom

a b c (Å): 2.922 4.181 5.446
angles (deg): 90.00 105.36 90.00
Element x y z (fractional)
Mg1 0.000 0.000 0.000
Mn1 0.365 0.500 0.729
Mn2 0.635 0.500 0.271
As1 0.500 0.000 0.500


VASP calculation (PBE) on a geometry-optimized ScIrSe2 structure.

Output
Space-group type: Fm-3m
Polymorph energy (0 for the lowest one): 0.501 eV/atom
Formation energy from raw total energies: -0.3943 eV per atom

a b c (Å): 4.631 4.631 4.631
angles (deg): 60.00 60.00 60.00
Element x y z (fractional)
Sc1 0.000 0.000 0.000
Ir1 0.500 0.500 0.500
Se1 0.250 0.250 0.250
Se2 0.750 0.750 0.750


VASP calculation (PBE) on a geometry-optimized PmDyMgSn structure.

Output
Space-group type: F-43m
DFT total energy: -4.15 eV/atom

a b c (Å): 5.355 5.355 5.355
angles (deg): 60.00 60.00 60.00
Element x y z (fractional)
Pm1 0.000 0.000 0.000
Dy1 0.500 0.500 0.500
Mg1 0.250 0.250 0.250
Sn1 0.750 0.750 0.750


VASP calculation (PBE) on a geometry-optimized Sc2PbI structure.

Output
Space-group type: Fm-3m
Polymorph energy (0 for the lowest one): 0.082 eV/atom
Formation energy from raw total energies: -0.2822 eV per atom

a b c (Å): 5.240 5.240 5.240
angles (deg): 60.00 60.00 60.00
Element x y z (fractional)
Sc1 0.250 0.250 0.250
Sc2 0.750 0.750 0.750
Pb1 0.000 0.000 0.000
I1 0.500 0.500 0.500


VASP calculation (PBE) on a geometry-optimized BaNaTePb2 structure.

Output
Space-group type: P4/mmm
Formation energy from raw total energies: 0.3131 eV per atom

a b c (Å): 6.539 6.539 6.279
angles (deg): 90.00 90.00 90.00
Element x y z (fractional)
Ba1 0.000 0.000 0.000
Na1 0.500 0.500 0.500
Te1 0.000 0.000 0.500
Pb1 0.000 0.500 0.000
Pb2 0.500 0.000 0.000


VASP calculation (PBE) on a geometry-optimized BaAsPdSe2 structure.

Output
Space-group type: P4/mmm
Polymorph energy (0 for the lowest one): 0.000 eV/atom
Formation energy from raw total energies: -0.6451 eV per atom

a b c (Å): 5.352 5.352 4.674
angles (deg): 90.00 90.00 90.00
Element x y z (fractional)
Ba1 0.000 0.000 0.000
As1 0.500 0.500 0.000
Pd1 0.500 0.500 0.500
Se1 0.000 0.500 0.500
Se2 0.500 0.000 0.500


VASP calculation (PBE) on a geometry-optimized AlBiIr2 structure.

Output
Space-group type: I-42d
Polymorph energy (0 for the lowest one): 0.125 eV/atom

a b c (Å): 9.112 9.112 9.112
angles (deg): 153.07 153.07 38.45
Element x y z (fractional)
Al1 0.000 0.000 0.000
Al2 0.750 0.250 0.500
Bi1 0.250 0.750 0.500
Bi2 0.500 0.500 0.000
Ir1 0.082 0.625 0.957
Ir2 0.375 0.332 0.457
Ir3 0.668 0.125 0.043
Ir4 0.875 0.918 0.543


VASP calculation (PBE) on a geometry-optimized ScNbPd structure.

Output
Space-group type: P-1
Polymorph energy (0 for the lowest one): 0.057 eV/atom

a b c (Å): 3.044 4.956 7.572
angles (deg): 81.56 79.83 82.33
Element x y z (fractional)
Sc1 0.007 0.192 0.168
Sc2 0.993 0.808 0.832
Nb1 0.336 0.253 0.531
Nb2 0.664 0.747 0.469
Pd1 0.398 0.658 0.157
Pd2 0.602 0.342 0.843